Entry from Alexandria: an optimized crystal structure of MnReSe2 (GGA-PBE).

Computed properties:
Energy above the most stable polymorph in this dataset = 450 meV/atom
Symmetry = R-3m (166)
Raw formation energy = 1.26 eV/f.u.
DOS at the Fermi energy = 2.6 states/eV per cell

a = 8.026 Å, b = 8.026 Å, c = 8.026 Å
α = 22.40°, β = 22.40°, γ = 22.40°
Each line ends with the local moment (μB).
Fractional coordinates of all 4 atoms:
Mn: 0.250 0.250 0.250  3.46
Re: 0.750 0.750 0.750  -0.01
Se: 0.003 0.003 0.003  -0.01
Se: 0.497 0.497 0.497  -0.01


Entry from Alexandria: an optimized crystal structure of CoMoSCl2 (GGA-PBE).

Computed properties:
Energy above the most stable polymorph in this dataset = 0 meV/atom
Symmetry = P4/mmm (123)
Raw formation energy = 2.48 eV/f.u.
DOS at the Fermi energy = 6.3 states/eV per cell

a = 4.495 Å, b = 4.495 Å, c = 4.702 Å
α = 90.00°, β = 90.00°, γ = 90.00°
Each line ends with the local moment (μB).
Fractional coordinates of all 5 atoms:
Mo: 0.500 0.500 0.500  3.56
Co: 0.000 0.000 0.000  -1.12
S: 0.000 0.000 0.500  -0.17
Cl: 0.000 0.500 0.000  0.00
Cl: 0.500 0.000 0.000  0.00


Entry from Alexandria: an optimized crystal structure of K2CaCuSb (GGA-PBE).

Computed properties:
Symmetry = P4/mmm (123)
Raw formation energy = 0.37 eV/f.u.
DOS at the Fermi energy = 0.0 states/eV per cell

a = 6.654 Å, b = 5.900 Å, c = 6.654 Å
α = 90.00°, β = 90.00°, γ = 90.00°
Fractional coordinates of all 5 atoms:
Sb: 0.000 0.000 0.000
Ca: 0.000 0.500 0.000
K: 0.000 0.000 0.500
K: 0.500 0.000 0.000
Cu: 0.500 0.500 0.500


Entry from Alexandria: an optimized crystal structure of KTmPbO3 (GGA-PBE).

Computed properties:
Symmetry = P2_1/m (11)
Raw formation energy = -13.39 eV/f.u.
DOS at the Fermi energy = 0.0 states/eV per cell

a = 3.464 Å, b = 7.181 Å, c = 9.520 Å
α = 83.15°, β = 90.00°, γ = 90.00°
Fractional coordinates of all 12 atoms:
K: 0.250 0.091 0.154
K: 0.750 0.909 0.846
Tm: 0.250 0.580 0.132
Tm: 0.750 0.420 0.868
Pb: 0.250 0.280 0.578
Pb: 0.750 0.720 0.422
O: 0.750 0.781 0.166
O: 0.250 0.219 0.834
O: 0.250 0.534 0.375
O: 0.750 0.466 0.625
O: 0.750 0.384 0.102
O: 0.250 0.616 0.898


Entry from Alexandria: an optimized crystal structure of Be2CdW (GGA-PBE).

Computed properties:
Symmetry = C2/m (12)
Energy of formation from the pure elements = 45.12 kJ per mole of atoms
DOS at the Fermi energy = 1.1 states/eV per cell

a = 4.421 Å, b = 4.421 Å, c = 5.254 Å
α = 81.92°, β = 81.92°, γ = 35.39°
Fractional coordinates of all 4 atoms:
Be: 0.998 0.998 0.082
Be: 0.502 0.502 0.418
W: 0.250 0.250 0.250
Cd: 0.750 0.750 0.750


Entry from Alexandria: an optimized crystal structure of KNaRhPb2 (GGA-PBE).

Computed properties:
Symmetry = P4/mmm (123)
Energy of formation from the pure elements = -5.19 kJ per mole of atoms
DOS at the Fermi energy = 3.8 states/eV per cell

a = 5.297 Å, b = 5.297 Å, c = 5.668 Å
α = 90.00°, β = 90.00°, γ = 90.00°
Fractional coordinates of all 5 atoms:
Pb: 0.000 0.500 0.000
Pb: 0.500 0.000 0.000
Na: 0.000 0.000 0.500
K: 0.500 0.500 0.500
Rh: 0.000 0.000 0.000


Entry from Alexandria: an optimized crystal structure of Ca2PuReN5 (GGA-PBE).

Computed properties:
Symmetry = Cmc2_1 (36)
Raw formation energy = -6.90 eV/f.u.
DOS at the Fermi energy = 11.8 states/eV per cell

a = 3.474 Å, b = 6.933 Å, c = 10.944 Å
α = 90.00°, β = 90.00°, γ = 104.51°
Each line ends with the local moment (μB).
Fractional coordinates of all 18 atoms:
Ca: 0.846 0.691 0.815  0.01
Ca: 0.097 0.194 0.666  0.01
Ca: 0.154 0.309 0.315  0.01
Ca: 0.903 0.806 0.166  0.01
Pu: 0.788 0.576 0.531  3.42
Pu: 0.212 0.424 0.031  3.42
Re: 0.522 0.044 0.941  0.03
Re: 0.478 0.956 0.441  0.03
N: 0.375 0.749 0.996  -0.12
N: 0.681 0.362 0.915  -0.15
N: 0.495 0.990 0.782  0.01
N: 0.278 0.555 0.657  -0.19
N: 0.961 0.921 0.521  -0.02
N: 0.625 0.251 0.496  -0.12
N: 0.319 0.638 0.415  -0.15
N: 0.505 0.010 0.282  0.01
N: 0.722 0.445 0.157  -0.19
N: 0.039 0.079 0.021  -0.02


Entry from Alexandria: an optimized crystal structure of K2TcRu (GGA-PBE).

Computed properties:
Energy above the most stable polymorph in this dataset = 276 meV/atom
Symmetry = Imm2 (44)
Energy of formation from the pure elements = 96.80 kJ per mole of atoms
DOS at the Fermi energy = 3.9 states/eV per cell

a = 6.491 Å, b = 6.491 Å, c = 6.491 Å
α = 146.12°, β = 125.47°, γ = 65.76°
Fractional coordinates of all 4 atoms:
K: 0.020 0.020 0.000
K: 0.724 0.224 0.500
Ru: 0.435 0.435 0.000
Tc: 0.320 0.820 0.500


Record order is preserved below.
Total energy: -6.83 -4.65 -2.41 -6.26 -4.86 -3.49 -8.81 -4.46 eV per atom